# 1
# LiNdHo2Pt4, optimized geometry, DFT PBE
# Energy of formation, eV per atom: -1.040
# E, eV/atom: -6.04
# Fermi-level density of states, states/eV per cell: 3.08
# Symmetry: R-3m
data_LiNdHo2Pt4
_chemical_formula_sum 'Li1 Nd1 Ho2 Pt4'
_cell_length_a 8.738
_cell_length_b 8.738
_cell_length_c 8.738
_cell_angle_alpha 31.81
_cell_angle_beta 31.81
_cell_angle_gamma 31.81
_space_group_name_H-M_alt 'P 1'
_space_group_IT_number 1
loop_
_space_group_symop_operation_xyz
'x,y,z'
loop_
_atom_site_label
_atom_site_type_symbol
_atom_site_fract_x
_atom_site_fract_y
_atom_site_fract_z
_atom_site_occupancy
Li1 Li 0.000 0.000 0.000 1
Nd1 Nd 0.500 0.500 0.500 1
Ho1 Ho 0.263 0.263 0.263 1
Ho2 Ho 0.737 0.737 0.737 1
Pt1 Pt 0.110 0.110 0.110 1
Pt2 Pt 0.377 0.377 0.377 1
Pt3 Pt 0.623 0.623 0.623 1
Pt4 Pt 0.890 0.890 0.890 1

***

# 2
# LiNdHoRe, optimized geometry, DFT PBE
# Energy of formation, eV per atom: 0.123
# E, eV/atom: -5.80
# Fermi-level density of states, states/eV per cell: 3.71
# Symmetry: F-43m
data_LiNdHoRe
_chemical_formula_sum 'Li1 Nd1 Ho1 Re1'
_cell_length_a 4.980
_cell_length_b 4.980
_cell_length_c 4.980
_cell_angle_alpha 60.00
_cell_angle_beta 60.00
_cell_angle_gamma 60.00
_space_group_name_H-M_alt 'P 1'
_space_group_IT_number 1
loop_
_space_group_symop_operation_xyz
'x,y,z'
loop_
_atom_site_label
_atom_site_type_symbol
_atom_site_fract_x
_atom_site_fract_y
_atom_site_fract_z
_atom_site_occupancy
Li1 Li 0.000 0.000 0.000 1
Nd1 Nd 0.250 0.250 0.250 1
Ho1 Ho 0.750 0.750 0.750 1
Re1 Re 0.500 0.500 0.500 1